# 1
{"formula": "Li2Pr2Si3", "functional": "GGA-PBE", "state": "optimized geometry", "dft_energy_ev_per_cell": -67.84, "lattice": [[-6.867, 4.102, 5.197], [4.089, -7.443, -4.344], [3.463, -1.423, 5.699]], "species": ["Si", "Si", "Si", "Si", "Si", "Si", "Pr", "Pr", "Pr", "Pr", "Li", "Li", "Li", "Li"], "fractional_positions": [[0.942, 0.058, 0.575], [0.720, 0.280, 0.750], [0.942, 0.058, 0.925], [0.058, 0.942, 0.425], [0.280, 0.720, 0.250], [0.058, 0.942, 0.075], [0.448, 0.552, 0.250], [0.552, 0.448, 0.750], [0.659, 0.341, 0.250], [0.341, 0.659, 0.750], [0.812, 0.188, 0.439], [0.188, 0.812, 0.561], [0.188, 0.812, 0.939], [0.812, 0.188, 0.061]]}

# 2
{"formula": "YTm2Fe7Co2", "functional": "GGA-PBE", "state": "optimized geometry", "e_form_ev_per_fu": -1.52, "lattice": [[2.512, 1.450, 8.079], [-2.512, 1.450, 8.079], [0.000, -2.900, 8.079]], "species": ["Fe", "Fe", "Fe", "Fe", "Fe", "Fe", "Fe", "Co", "Co", "Tm", "Tm", "Y"], "fractional_positions": [[0.418, 0.418, 0.918], [0.418, 0.918, 0.418], [0.582, 0.582, 0.082], [0.500, 0.500, 0.500], [0.082, 0.582, 0.582], [0.918, 0.418, 0.418], [0.582, 0.082, 0.582], [0.668, 0.668, 0.668], [0.332, 0.332, 0.332], [0.858, 0.858, 0.858], [0.142, 0.142, 0.142], [0.000, 0.000, 0.000]]}

# 3
{"formula": "RbNbTeAuS2", "functional": "GGA-PBE", "state": "optimized geometry", "dft_energy_ev_per_cell": -58.63, "lattice": [[1.811, -8.457, 0.000], [1.811, 8.457, 0.000], [0.000, 0.000, 10.313]], "species": ["S", "S", "S", "S", "Te", "Te", "Au", "Au", "Nb", "Nb", "Rb", "Rb"], "fractional_positions": [[0.897, 0.103, 0.958], [0.103, 0.897, 0.458], [0.103, 0.897, 0.042], [0.897, 0.103, 0.542], [0.411, 0.589, 0.250], [0.589, 0.411, 0.750], [0.040, 0.960, 0.250], [0.960, 0.040, 0.750], [0.500, 0.500, 0.000], [0.500, 0.500, 0.500], [0.720, 0.280, 0.250], [0.280, 0.720, 0.750]]}